# 1
First-principles (PBE-GGA) data for K2TbSmSe4 after structural relaxation, as listed in Alexandria via LeMat-Bulk.

Summary:
N(E_F)   0.00 states/eV per cell
Space group   P2/m (10)
Raw formation energy   -1.7625 eV per atom

abc: 4.2656 7.3875 8.0765
angles: 107.75 90.00 90.00
Atoms (fractional coordinates):
K1 0.5000 0.0000 0.5000
K2 0.0000 0.5000 0.5000
Tb1 0.5000 0.5000 0.0000
Sm1 0.0000 0.0000 0.0000
Se1 0.5000 0.2396 0.2081
Se2 0.5000 0.7604 0.7919
Se3 0.0000 0.2681 0.7935
Se4 0.0000 0.7319 0.2065



# 2
First-principles (PBE-GGA) data for K3TbSm2Se6 after structural relaxation, as listed in Alexandria via LeMat-Bulk.

Summary:
N(E_F)   0.00 states/eV per cell
Space group   C2/m (12)
Raw formation energy   -1.7618 eV per atom

abc: 7.4065 7.4065 8.0832
angles: 98.78 98.78 120.00
Atoms (fractional coordinates):
K1 0.1673 0.8327 0.5000
K2 0.8327 0.1673 0.5000
K3 0.5000 0.5000 0.5000
Tb1 0.0000 0.0000 0.0000
Sm1 0.3334 0.6666 0.0000
Sm2 0.6666 0.3334 0.0000
Se1 0.9308 0.6014 0.7923
Se2 0.7399 0.7399 0.2079
Se3 0.0692 0.3986 0.2077
Se4 0.6014 0.9308 0.7923
Se5 0.2601 0.2601 0.7921
Se6 0.3986 0.0692 0.2077



# 3
First-principles (PBE-GGA) data for KSm2TeSe4 after structural relaxation, as listed in Alexandria via LeMat-Bulk.

Summary:
N(E_F)   2.45 states/eV per cell
Space group   Cmcm (63)
Raw formation energy   -1.2130 eV per atom

abc: 4.3518 7.7152 15.6373
angles: 90.00 90.00 106.38
Atoms (fractional coordinates):
K1 0.1661 0.3323 0.7500
K2 0.8339 0.6677 0.2500
Sm1 0.3687 0.7373 0.5559
Sm2 0.6313 0.2627 0.0559
Sm3 0.6313 0.2627 0.4441
Sm4 0.3687 0.7373 0.9441
Te1 0.9055 0.8110 0.7500
Te2 0.0945 0.1890 0.2500
Se1 0.2656 0.5312 0.0962
Se2 0.7344 0.4688 0.5962
Se3 0.7344 0.4688 0.9038
Se4 0.2656 0.5312 0.4038
Se5 0.0000 0.0000 0.5000
Se6 0.0000 0.0000 0.0000
Se7 0.4994 0.9987 0.7500
Se8 0.5006 0.0013 0.2500



# 4
First-principles (PBE-GGA) data for KSmTeSe after structural relaxation, as listed in Alexandria via LeMat-Bulk.

Summary:
Space group   R3m (160)
Raw formation energy   -1.5461 eV per atom

abc: 4.3957 4.3960 8.5961
angles: 90.02 104.81 120.00
Atoms (fractional coordinates):
K1 0.9725 0.3845 0.3718
Sm1 0.2934 0.5445 0.8534
Te1 0.1113 0.9536 0.0802
Se1 0.5007 0.1481 0.6643